The following is a DFT calculation (GGA-PBE) of an optimized crystal structure of NaTlCd.

Calculated values
Energy of formation from the pure elements: -9.56 kJ/mol of atoms

Cell: 3.516 5.170 5.170 Å, 120.00 90.00 90.00°
Fractional positions:
Tl  0.168  0.000  0.000
Na  0.666  0.333  0.667
Cd  0.166  0.667  0.333

***

The following is a DFT calculation (GGA-PBE) of an optimized crystal structure of Li8Cu2Ir.

Calculated values
Energy of formation from the pure elements: 5.03 kJ/mol of atoms

Cell: 4.529 7.408 7.408 Å, 74.55 61.53 61.53°
Fractional positions:
Li  0.615  0.354  0.864
Li  0.129  0.584  0.584
Li  0.385  0.646  0.136
Li  0.266  0.132  0.132
Li  0.734  0.868  0.868
Li  0.385  0.136  0.646
Li  0.871  0.416  0.416
Li  0.615  0.864  0.354
Cu  0.419  0.738  0.738
Cu  0.581  0.262  0.262
Ir  0.000  0.000  0.000

***

The following is a DFT calculation (GGA-PBE) of an optimized crystal structure of La2Dy12Er5.

Calculated values
Energy of formation from the pure elements: 13.48 kJ/mol of atoms

Cell: 9.222 12.415 8.511 Å, 132.54 90.00 111.80°
Fractional positions:
La  0.689  0.000  0.000
La  0.311  0.000  0.000
Dy  0.978  0.318  0.073
Dy  0.904  0.807  0.690
Dy  0.660  0.682  0.927
Dy  0.559  0.119  0.793
Dy  0.441  0.881  0.207
Dy  0.096  0.193  0.310
Dy  0.566  0.750  0.398
Dy  0.434  0.250  0.602
Dy  0.184  0.750  0.398
Dy  0.022  0.682  0.927
Dy  0.816  0.250  0.602
Dy  0.340  0.318  0.073
Er  0.696  0.393  0.386
Er  0.304  0.607  0.614
Er  0.767  0.535  0.112
Er  0.233  0.465  0.888
Er  0.000  0.000  0.500